Entry from Alexandria: a geometry-optimized HgRu2Pt2 structure (PBE-GGA).

Cell lengths 7.744, 7.744, 2.787 Å; angles 90.00, 90.00, 90.00 degrees
Fractional positions:
Hg1 0.000 0.000 0.000
Hg2 0.500 0.500 0.000
Ru1 0.119 0.381 0.000
Ru2 0.381 0.881 0.000
Ru3 0.619 0.119 0.000
Ru4 0.881 0.619 0.000
Pt1 0.176 0.676 0.500
Pt2 0.324 0.176 0.500
Pt3 0.676 0.824 0.500
Pt4 0.824 0.324 0.500

Output
- E: -58.5 eV per cell
- Mass density: 15.75 g/cm³
- Formation energy: 0.342 eV/atom
- Space-group type: No. 127